The following is a PBE calculation of crystalline RbCuW at its relaxed geometry, from OQMD.

- crystal system = cubic
- ρ (g cm⁻³) = 5.0
- M_tot (μB/f.u.) = 4.85
- SG = F-43m
- energy relative to the lowest polymorph listed for this composition (eV per atom) = 0.625

Cell: 5.3962 5.3962 5.3962 Å, 60.00 60.00 60.00°
Fractional positions:
Cu: 0.2500 0.2500 0.2500
Rb: 0.0000 0.0000 0.0000
W: 0.7500 0.7500 0.7500


The following is a PBE calculation of crystalline BaCdHgPb2 at its relaxed geometry, from OQMD.

- crystal system = tetragonal
- ρ (g cm⁻³) = 8.8
- energy (eV per atom) = -2.430
- SG = P4/nmm

Cell: 5.0590 5.0590 12.7497 Å, 90.00 90.00 90.00°
Fractional positions:
Ba: 0.0000 0.5000 0.2454
Ba: 0.5000 0.0000 0.7546
Cd: 0.0000 0.0000 0.0000
Cd: 0.5000 0.5000 0.0000
Hg: 0.5000 0.0000 0.3595
Hg: 0.0000 0.5000 0.6405
Pb: 0.5000 0.0000 0.1320
Pb: 0.0000 0.0000 0.5000
Pb: 0.5000 0.5000 0.5000
Pb: 0.0000 0.5000 0.8680


The following is a PBE calculation of crystalline YTaNi2Sn2 at its relaxed geometry, from OQMD.

- crystal system = orthorhombic
- ρ (g cm⁻³) = 8.8
- M_tot (μB/f.u.) = 0.00
- energy (eV per atom) = -6.729
- SG = Pmn2_1

Cell: 6.1937 4.3424 8.7535 Å, 90.00 90.00 90.00°
Fractional positions:
Ni: 0.7376 0.0000 0.1105
Ni: 0.2669 0.5000 0.3525
Ni: 0.7669 0.0000 0.6475
Ni: 0.2376 0.5000 0.8895
Sn: 0.9879 0.5000 0.1203
Sn: 0.5080 0.0000 0.3645
Sn: 0.0080 0.5000 0.6355
Sn: 0.4879 0.0000 0.8797
Ta: 0.4957 0.5000 0.1234
Ta: 0.9957 0.0000 0.8766
Y: 0.0039 0.0000 0.3790
Y: 0.5039 0.5000 0.6210


The following is a PBE calculation of crystalline PmBiN2O at its relaxed geometry, from OQMD.

- crystal system = triclinic
- ρ (g cm⁻³) = 8.9
- M_tot (μB/f.u.) = 0.00
- energy (eV per atom) = -6.640
- SG = P1

Cell: 5.9484 6.0512 10.0210 Å, 90.83 106.48 118.92°
Fractional positions:
Bi: 0.0218 0.0095 0.0000
Bi: 0.4703 0.7364 0.2423
Bi: 0.9902 0.5226 0.4989
Bi: 0.4758 0.2565 0.7387
N: 0.3790 0.9489 0.0824
N: 0.1144 0.3345 0.1494
N: 0.6275 0.4827 0.3383
N: 0.2846 0.7777 0.3936
N: 0.3431 0.4615 0.5910
N: 0.7992 0.3090 0.6559
N: 0.1234 0.8617 0.6568
N: 0.3218 0.2911 0.9086
O: 0.8217 0.8155 0.1528
O: 0.8238 0.0902 0.3949
O: 0.6583 0.9566 0.8409
O: 0.8500 0.5876 0.9111
Pm: 0.7371 0.3943 0.1186
Pm: 0.2154 0.1378 0.3646
Pm: 0.7131 0.8886 0.6051
Pm: 0.2297 0.6372 0.8560